[1]
First-principles (GGA-PBE) data for La3Si2Pd4 after structural relaxation, as listed in Alexandria via LeMat-Bulk.

The final energy comes out at -6.04 eV per atom. As for the space group: C2/m. The calculation puts the total magnetization at 0.00 μB per cell. The energy above the most stable polymorph in this dataset is 0 meV/atom.

The structure in extended XYZ format:
```
9
Lattice="5.473 -2.205 0.000 5.473 2.205 0.000 -3.386 0.000 8.177" Properties=species:S:1:pos:R:3 pbc="T T T"
La 0.000 0.000 0.000
La 2.983 0.000 2.523
La 4.578 0.000 5.654
Si 1.457 0.000 5.554
Si 6.103 0.000 2.623
Pd -0.084 0.000 3.483
Pd 0.000 0.000 7.563
Pd 7.560 0.000 0.614
Pd 7.645 0.000 4.694
```

[2]
First-principles (GGA-PBE) data for La2SiPd2 after structural relaxation, as listed in Alexandria via LeMat-Bulk.

The final energy comes out at -5.69 eV per atom. As for the space group: I4/mmm. The calculation puts the total magnetization at 0.00 μB per cell.

The structure in extended XYZ format:
```
5
Lattice="-1.932 1.932 8.157 1.932 -1.932 8.157 1.932 1.932 -8.157" Properties=species:S:1:pos:R:3 pbc="T T T"
La 0.000 0.000 1.745
La 0.000 0.000 14.570
Si 0.000 0.000 8.157
Pd 1.932 0.000 4.079
Pd 0.000 1.932 4.079
```

[3]
First-principles (GGA-PBE) data for La3Si3Pd2 after structural relaxation, as listed in Alexandria via LeMat-Bulk.

The final energy comes out at -6.07 eV per atom. As for the space group: Cmcm. The calculation puts the total magnetization at 0.00 μB per cell.

The structure in extended XYZ format:
```
16
Lattice="2.162 -5.542 0.000 2.162 5.542 0.000 0.000 0.000 15.615" Properties=species:S:1:pos:R:3 pbc="T T T"
La 2.162 4.640 11.712
La 2.162 1.543 9.296
La 2.162 1.543 14.127
La 2.162 -1.543 1.488
La 2.162 -1.543 6.320
La 2.162 -4.640 3.904
Si 2.162 4.667 8.598
Si 2.162 4.667 14.825
Si 2.162 3.232 3.904
Si 2.162 -3.232 11.712
Si 2.162 -4.667 0.790
Si 2.162 -4.667 7.017
Pd 2.162 1.670 1.822
Pd 2.162 1.670 5.986
Pd 2.162 -1.670 9.630
Pd 2.162 -1.670 13.794
```

[4]
First-principles (GGA-PBE) data for La3Si2Pd4 after structural relaxation, as listed in Alexandria via LeMat-Bulk.

The final energy comes out at -6.04 eV per atom. As for the space group: C2/m. The calculation puts the total magnetization at 0.00 μB per cell. The energy above the most stable polymorph in this dataset is 4 meV/atom.

The structure in extended XYZ format:
```
9
Lattice="5.627 -2.154 0.000 5.627 2.154 0.000 -2.229 0.000 8.409" Properties=species:S:1:pos:R:3 pbc="T T T"
La 0.000 0.000 0.000
La 2.986 0.000 2.777
La 6.040 0.000 5.632
Si 2.853 0.000 6.019
Si 6.173 0.000 2.390
Pd -0.185 0.000 3.195
Pd 1.169 0.000 7.776
Pd 7.856 0.000 0.633
Pd 9.211 0.000 5.214
```

[5]
First-principles (GGA-PBE) data for La3SiPd3 after structural relaxation, as listed in Alexandria via LeMat-Bulk.

The final energy comes out at -5.94 eV per atom. As for the space group: C2/m. The calculation puts the total magnetization at 0.00 μB per cell.

The structure in extended XYZ format:
```
14
Lattice="5.568 -2.091 0.000 5.568 2.091 0.000 -4.802 0.000 14.568" Properties=species:S:1:pos:R:3 pbc="T T T"
La -1.622 0.000 5.625
La -3.309 0.000 13.443
La 1.573 0.000 3.400
La 4.761 0.000 11.169
La 9.643 0.000 1.125
La 7.956 0.000 8.943
Si -0.089 0.000 8.948
Si 6.423 0.000 5.620
Pd 1.319 0.000 6.801
Pd -0.227 0.000 13.477
Pd 1.535 0.000 11.081
Pd 4.799 0.000 3.487
Pd 6.561 0.000 1.091
Pd 5.015 0.000 7.767
```

[6]
First-principles (GGA-PBE) data for LaSi6Pd12 after structural relaxation, as listed in Alexandria via LeMat-Bulk.

The final energy comes out at -5.94 eV per atom. As for the space group: R-3m. The calculation puts the total magnetization at 0.00 μB per cell.

The structure in extended XYZ format:
```
19
Lattice="5.639 3.256 2.817 -5.639 3.256 2.817 0.000 -6.511 2.817" Properties=species:S:1:pos:R:3 pbc="T T T"
La 0.000 0.000 0.000
Si 0.000 -2.859 3.330
Si -2.476 1.430 3.330
Si -2.476 -1.430 5.120
Si 2.476 1.430 3.330
Si 2.476 -1.430 5.120
Si 0.000 2.859 5.120
Pd -2.112 -3.659 4.225
Pd -4.225 0.000 4.225
Pd -1.488 -0.859 2.959
Pd 1.488 -0.859 2.959
Pd 0.000 1.719 2.959
Pd 2.112 -3.659 4.225
Pd -2.112 3.659 4.225
Pd 0.000 -1.719 5.491
Pd -1.488 0.859 5.491
Pd 1.488 0.859 5.491
Pd 4.225 0.000 4.225
Pd 2.112 3.659 4.225
```